First-principles (PBE) data for MgMnFe3 after structural relaxation, as listed in the Alexandria database.

Cell lengths 4.255, 4.255, 4.255 Å; angles 90.00, 90.00, 90.00 degrees
Each line ends with the local moment (μB).
Fractional positions:
Mg (0.500, 0.500, 0.500)  -0.04
Mn (0.000, 0.000, 0.000)  -0.56
Fe (0.000, 0.500, 0.000)  2.06
Fe (0.000, 0.000, 0.500)  2.07
Fe (0.500, 0.000, 0.000)  1.64

energy	-6.322	eV/atom
space group	Pm-3m
crystal system	cubic

First-principles (PBE) data for MgMn2Fe after structural relaxation, as listed in the Alexandria database.

Cell lengths 4.043, 2.614, 5.096 Å; angles 78.56, 90.00, 90.00 degrees
Each line ends with the local moment (μB).
Fractional positions:
Fe (0.000, 0.439, 0.494)  1.93
Mg (0.500, 0.759, 0.734)  -0.02
Mn (0.000, 0.025, 0.033)  -2.72
Mn (0.500, 0.278, 0.239)  2.11

energy	-6.814	eV/atom
space group	Pm
crystal system	monoclinic

First-principles (PBE) data for MgMnFe2 after structural relaxation, as listed in the Alexandria database.

Cell lengths 4.224, 4.224, 4.224 Å; angles 60.00, 60.00, 60.00 degrees
Each line ends with the local moment (μB).
Fractional positions:
Fe (0.000, 0.000, 0.000)  2.17
Fe (0.250, 0.250, 0.250)  2.41
Mg (0.500, 0.500, 0.500)  -0.04
Mn (0.750, 0.750, 0.750)  3.09

energy	-6.663	eV/atom
space group	F-43m
crystal system	cubic

First-principles (PBE) data for MgMnFe2 after structural relaxation, as listed in the Alexandria database.

Cell lengths 6.604, 6.604, 5.322 Å; angles 51.65, 51.65, 90.00 degrees
Each line ends with the local moment (μB).
Fractional positions:
Mg (0.500, 0.500, 0.000)  -0.01
Mg (0.250, 0.750, 0.500)  -0.01
Mn (0.000, 0.000, 0.000)  -0.63
Mn (0.750, 0.250, 0.500)  -0.62
Fe (0.681, 0.125, 0.250)  1.74
Fe (0.069, 0.625, 0.250)  1.70
Fe (0.375, 0.319, 0.750)  1.78
Fe (0.875, 0.931, 0.750)  1.75

energy	-6.280	eV/atom
space group	I-42d
crystal system	tetragonal

Values for M_tot, Bohr magnetons per cell, ordered as above
5.022; 1.220; 7.519; 5.715
Values for formation energy, kJ/mol of atoms, ordered as above
88; 28; 25; 62
Values for ρ, g/cm³, ordered as above
5.319; 5.979; 5.949; 5.695